# 1
# CoHgRu2

A relaxed structure of CoHgRu2 (GGA-PBE, the Alexandria database).

Cell: 3.8773 3.8773 4.0139 Å, 90.00 90.00 90.00°
Space group P4/mmm (No. 123)
Symmetry-distinct sites (fractional):
Co1 0.0000 0.0000 0.0000
Hg1 0.5000 0.5000 0.0000
Ru1 0.0000 0.5000 0.5000

As for the volume: 60.3 Å³/f.u. Its energy of formation is 14.4 kcal/mol of atoms.



# 2
# CoHg2Ru

A relaxed structure of CoHg2Ru (GGA-PBE, the Alexandria database).

Cell: 4.4405 4.4405 3.3889 Å, 90.00 90.00 90.00°
Space group P4/mmm (No. 123)
Symmetry-distinct sites (fractional):
Co1 0.0000 0.0000 0.0000
Hg1 0.0000 0.5000 0.5000
Ru1 0.5000 0.5000 0.0000

As for the volume: 66.8 Å³/f.u. Its energy of formation is 13.8 kcal/mol of atoms.



# 3
# CoHg2Ru

A relaxed structure of CoHg2Ru (GGA-PBE, the Alexandria database).

Cell: 3.1859 3.1859 6.5159 Å, 90.00 90.00 90.00°
Space group P4/mmm (No. 123)
Symmetry-distinct sites (fractional):
Co1 0.0000 0.0000 0.0000
Hg1 0.5000 0.5000 0.2386
Ru1 0.0000 0.0000 0.5000

As for the volume: 66.1 Å³/f.u. Its energy of formation is 13.9 kcal/mol of atoms.



# 4
# CoHgRu2

A relaxed structure of CoHgRu2 (GGA-PBE, the Alexandria database).

Cell: 7.1376 7.1376 5.0887 Å, 90.00 90.00 90.00°
Space group I-42d (No. 122)
Symmetry-distinct sites (fractional):
Co1 0.0000 0.0000 0.0000
Hg1 0.0000 0.0000 0.5000
Ru1 0.1941 0.7500 0.1250

As for the volume: 64.8 Å³/f.u. Its energy of formation is 18.9 kcal/mol of atoms.



# 5
# CoHg2Ru

A relaxed structure of CoHg2Ru (GGA-PBE, the Alexandria database).

Cell: 4.1254 4.1254 7.9259 Å, 90.00 90.00 90.00°
Space group I4/mmm (No. 139)
Symmetry-distinct sites (fractional):
Co1 0.0000 0.0000 0.0000
Hg1 0.0000 0.5000 0.2500
Ru1 0.0000 0.0000 0.5000

As for the volume: 67.4 Å³/f.u. Its energy of formation is 14.3 kcal/mol of atoms.



# 6
# CoHg2Ru

A relaxed structure of CoHg2Ru (GGA-PBE, the Alexandria database).

Cell: 3.1076 4.8105 9.1700 Å, 90.00 90.00 90.00°
Space group Cmmm (No. 65)
Symmetry-distinct sites (fractional):
Co1 0.0000 0.0000 0.0000
Hg1 0.0000 0.5000 0.2412
Ru1 0.0000 0.0000 0.5000

As for the volume: 68.5 Å³/f.u. Its energy of formation is 15.8 kcal/mol of atoms.



# 7
# CoHgRu2

A relaxed structure of CoHgRu2 (GGA-PBE, the Alexandria database).

Cell: 2.7916 2.7916 26.7909 Å, 90.00 90.00 120.00°
Space group R3m (No. 160, hexagonal axes)
Symmetry-distinct sites (fractional):
Co1 0.0000 0.0000 0.0000
Hg1 0.0000 0.0000 0.7540
Ru1 0.0000 0.0000 0.2583
Ru2 0.0000 0.0000 0.5148

As for the volume: 60.3 Å³/f.u. Its energy of formation is 9.5 kcal/mol of atoms.



# 8
# CoHgRu3

A relaxed structure of CoHgRu3 (GGA-PBE, the Alexandria database).

Cell: 4.4953 4.4953 4.4953 Å, 90.00 90.00 90.00°
Space group Pm-3m (No. 221)
Symmetry-distinct sites (fractional):
Co1 0.0000 0.0000 0.0000
Hg1 0.5000 0.5000 0.5000
Ru1 0.0000 0.0000 0.5000

As for the volume: 90.8 Å³/f.u. Its energy of formation is 30.5 kcal/mol of atoms.



# 9
# CoHg2Ru

A relaxed structure of CoHg2Ru (GGA-PBE, the Alexandria database).

Cell: 2.9203 4.7654 9.8215 Å, 90.00 90.00 90.00°
Space group Imm2 (No. 44)
Symmetry-distinct sites (fractional):
Co1 0.0000 0.0000 0.0000
Hg1 0.0000 0.0000 0.5334
Hg2 0.0000 0.5000 0.7502
Ru1 0.0000 0.5000 0.3007

As for the volume: 68.3 Å³/f.u. Its energy of formation is 12.4 kcal/mol of atoms.



# 10
# CoHgRu2

A relaxed structure of CoHgRu2 (GGA-PBE, the Alexandria database).

Cell: 2.8336 4.7182 9.2419 Å, 90.00 90.00 90.00°
Space group Cmmm (No. 65)
Symmetry-distinct sites (fractional):
Co1 0.0000 0.0000 0.0000
Hg1 0.0000 0.0000 0.5000
Ru1 0.0000 0.5000 0.2231

As for the volume: 61.8 Å³/f.u. Its energy of formation is 14.3 kcal/mol of atoms.



# 11
# CoHg2Ru

A relaxed structure of CoHg2Ru (GGA-PBE, the Alexandria database).

Cell: 2.8886 2.8886 28.9259 Å, 90.00 90.00 120.00°
Space group R3m (No. 160, hexagonal axes)
Symmetry-distinct sites (fractional):
Co1 0.0000 0.0000 0.0000
Hg1 0.0000 0.0000 0.2533
Hg2 0.0000 0.0000 0.4822
Ru1 0.0000 0.0000 0.7301

As for the volume: 69.7 Å³/f.u. Its energy of formation is 10.8 kcal/mol of atoms.



# 12
# CoHgRu2

A relaxed structure of CoHgRu2 (GGA-PBE, the Alexandria database).

Cell: 2.8918 2.9472 7.0026 Å, 90.00 90.00 90.00°
Space group Pmmm (No. 47)
Symmetry-distinct sites (fractional):
Co1 0.0000 0.0000 0.0000
Hg1 0.0000 0.0000 0.5000
Ru1 0.5000 0.5000 0.1986

As for the volume: 59.7 Å³/f.u. Its energy of formation is 10.7 kcal/mol of atoms.



no.,total magnetization (μB per cell)
1,4.063
2,2.077
3,2.202
4,6.663
5,5.735
6,5.185
7,4.989
8,6.363
9,4.492
10,7.352
11,4.843
12,0.749